No. 1
## RbNbTeI2 (GGA-PBE)

Data for a geometry-optimized RbNbTeI2 structure.

Energy relative to the elements, uncorrected in kJ per mole of atoms: 103.12
Energy above the most stable polymorph in this dataset in meV/atom: 1582.4

Cell lengths 6.4649, 6.4649, 6.4437 Å; angles 90.00, 90.00, 90.00 degrees
Fractional coordinates of all 5 atoms:
Rb  0.0000  0.0000  0.0000
Nb  0.5000  0.5000  0.5000
Te  0.0000  0.0000  0.5000
I  0.0000  0.5000  0.0000
I  0.5000  0.0000  0.0000

---

No. 2
## AcCeBiPb (GGA-PBE)

Data for a geometry-optimized AcCeBiPb structure.

Energy of formation in eV/atom: -0.4851

Cell lengths 5.7534, 5.7534, 5.7534 Å; angles 60.00, 60.00, 60.00 degrees
Fractional coordinates of all 4 atoms:
Ac  0.0000  0.0000  0.0000
Ce  0.5000  0.5000  0.5000
Bi  0.2500  0.2500  0.2500
Pb  0.7500  0.7500  0.7500

---

No. 3
## PrPuZn (GGA-PBE)

Data for a geometry-optimized PrPuZn structure.

Energy of formation in eV/atom: -0.0248
Energy above the most stable polymorph in this dataset in meV/atom: 0.0

Cell lengths 6.6058, 6.6058, 6.6058 Å; angles 148.08, 148.08, 45.76 degrees
Fractional coordinates of all 3 atoms:
Pr  0.0000  0.0000  0.0000
Pu  0.2928  0.2928  0.0000
Zn  0.6519  0.6519  0.0000

---

No. 4
## Ca2TlP (GGA-PBE)

Data for a geometry-optimized Ca2TlP structure.

Energy of formation in eV/atom: -0.0867
Energy above the most stable polymorph in this dataset in meV/atom: 585.4

Cell lengths 5.3189, 5.3189, 5.3189 Å; angles 60.00, 60.00, 60.00 degrees
Fractional coordinates of all 4 atoms:
Ca  0.0000  0.0000  0.0000
Ca  0.2500  0.2500  0.2500
Tl  0.5000  0.5000  0.5000
P  0.7500  0.7500  0.7500

---

No. 5
## NaTlN3 (GGA-PBE)

Data for a geometry-optimized NaTlN3 structure.

Energy relative to the elements, uncorrected in kJ per mole of atoms: 228.40

Cell lengths 4.4891, 4.4891, 4.4891 Å; angles 90.00, 90.00, 90.00 degrees
Fractional coordinates of all 5 atoms:
Na  0.0000  0.0000  0.0000
Tl  0.5000  0.5000  0.5000
N  0.0000  0.0000  0.5000
N  0.0000  0.5000  0.0000
N  0.5000  0.0000  0.0000

---

No. 6
## KSnSeN2 (GGA-PBE)

Data for a geometry-optimized KSnSeN2 structure.

Energy relative to the elements, uncorrected in kJ per mole of atoms: 75.01
Energy above the most stable polymorph in this dataset in meV/atom: 0.0

Cell lengths 4.4248, 4.4248, 5.4553 Å; angles 90.00, 90.00, 90.00 degrees
Fractional coordinates of all 5 atoms:
K  0.0000  0.0000  0.0000
Sn  0.5000  0.5000  0.5000
Se  0.5000  0.5000  0.0000
N  0.0000  0.5000  0.5000
N  0.5000  0.0000  0.5000

---

No. 7
## ErHfCo2 (GGA-PBE)

Data for a geometry-optimized ErHfCo2 structure.

Energy of formation in eV/atom: -0.3203

Cell lengths 3.2012, 3.2012, 6.5418 Å; angles 90.00, 90.00, 90.00 degrees
Fractional coordinates of all 4 atoms:
Er  0.0000  0.0000  0.0000
Hf  0.0000  0.0000  0.5000
Co  0.5000  0.5000  0.2772
Co  0.5000  0.5000  0.7228

---

No. 8
## Nb14SbW (GGA-PBE)

Data for a geometry-optimized Nb14SbW structure.

Energy relative to the elements, uncorrected in kJ per mole of atoms: -4.87

Cell lengths 5.7373, 5.7373, 9.3382 Å; angles 90.00, 90.00, 108.37 degrees
Fractional coordinates of all 16 atoms:
Nb  0.0000  0.0000  0.0000
Nb  0.0000  0.5000  0.0000
Nb  0.0000  0.5000  0.5000
Nb  0.2463  0.7537  0.2528
Nb  0.2463  0.7537  0.7472
Nb  0.2631  0.2631  0.2497
Nb  0.2631  0.2631  0.7503
Nb  0.5000  0.0000  0.0000
Nb  0.5000  0.0000  0.5000
Nb  0.5000  0.5000  0.0000
Nb  0.7369  0.7369  0.2497
Nb  0.7369  0.7369  0.7503
Nb  0.7537  0.2463  0.2528
Nb  0.7537  0.2463  0.7472
Sb  0.0000  0.0000  0.5000
W  0.5000  0.5000  0.5000